(1)
Entry from Alexandria: crystalline MgAg2 at its relaxed geometry (PBEsol).

Output
As for the formation energy: -0.14 eV per atom. The total magnetic moment is 0.00 Bohr magnetons per cell. The polymorph energy (0 for the lowest one) comes out at 46 meV per atom.

Cell lengths 5.4118, 5.4118, 6.9389 Å; angles 108.54, 108.54, 33.09 degrees
Closest atoms and distances in Å follow each position.
Atoms (fractional coordinates):
1 Mg 0.1737 0.1737 0.1354  8 Ag 2.82-2.91, 2 Mg 3.08
2 Mg 0.8263 0.8263 0.8646  8 Ag 2.82-2.91, 2 Mg 3.08
3 Ag 0.1468 0.1468 0.5402  9 Ag 2.84-3.08, 3 Mg 2.85-2.91
4 Ag 0.4664 0.4664 0.2105  5 Mg 2.82-2.91, 6 Ag 2.85-3.08
5 Ag 0.5336 0.5336 0.7895  5 Mg 2.82-2.91, 6 Ag 2.85-3.08
6 Ag 0.8532 0.8532 0.4598  9 Ag 2.84-3.08, 3 Mg 2.85-2.91



(2)
Entry from Alexandria: crystalline Sc3InRu at its relaxed geometry (PBEsol).

Output
As for the formation energy: -0.14 eV per atom. The total magnetic moment is 0.00 Bohr magnetons per cell. The polymorph energy (0 for the lowest one) comes out at 0 meV per atom.

Cell lengths 4.9116, 4.9116, 4.9116 Å; angles 90.00, 90.00, 90.00 degrees
Closest atoms and distances in Å follow each position.
Atoms (fractional coordinates):
1 Sc 0.0000 0.0000 0.5000  2 Ru 2.46
2 Sc 0.0000 0.5000 0.0000  2 Ru 2.46
3 Sc 0.5000 0.0000 0.0000  2 Ru 2.46
4 In 0.5000 0.5000 0.5000  12 Sc 3.47
5 Ru 0.0000 0.0000 0.0000  6 Sc 2.46



(3)
Entry from Alexandria: crystalline SnPdRhSe2 at its relaxed geometry (PBEsol).

Output
The calculation puts the energy relative to the elements, uncorrected at 1.138 eV per atom. The total magnetic moment is 0.63 Bohr magnetons per cell.

Cell lengths 5.0998, 5.0998, 4.8335 Å; angles 90.00, 90.00, 90.00 degrees
Closest atoms and distances in Å follow each position.
Atoms (fractional coordinates):
1 Sn 0.0000 0.0000 0.0000  2 Rh 2.42, 4 Se 2.55
2 Pd 0.5000 0.5000 0.5000  8 Se 3.51, 4 Rh 3.61
3 Rh 0.0000 0.0000 0.5000  2 Sn 2.42
4 Se 0.0000 0.5000 0.0000  2 Sn 2.55
5 Se 0.5000 0.0000 0.0000  2 Sn 2.55



(4)
Entry from Alexandria: crystalline LiSi2Hg at its relaxed geometry (PBEsol).

Output
The calculation puts the energy relative to the elements, uncorrected at 0.042 eV per atom. The total magnetic moment is 0.00 Bohr magnetons per cell.

Cell lengths 3.4342, 3.4342, 5.5864 Å; angles 90.00, 90.00, 90.00 degrees
Closest atoms and distances in Å follow each position.
Atoms (fractional coordinates):
1 Li 0.0000 0.0000 0.0000  1 Si 2.51, 4 Hg 2.71
2 Si 0.0000 0.0000 0.4500  1 Li 2.51, 4 Si 2.58
3 Si 0.5000 0.5000 0.2960  4 Si 2.58, 2 Hg 2.73-2.85
4 Hg 0.5000 0.5000 0.7855  4 Li 2.71, 2 Si 2.73-2.85



Number 1: final energy -0.2148 Ry per atom. Number 2: final energy -0.4948 Ry per atom. Number 3: final energy -0.2994 Ry per atom. Number 4: final energy -0.2547 Ry per atom.